Sc2CS: optimized geometry, PBE.

Cell lengths 3.457, 3.457, 6.251 Å; angles 89.99, 106.06, 120.01 degrees
Fractional positions:
1 Sc 0.028 0.014 0.042
2 Sc 0.972 0.486 0.458
3 C 0.500 0.750 0.250
4 S 0.500 0.250 0.750

Values from the calculation:
- Raw formation energy: -1321 meV per atom
- Space-group type: R-3m
- Density of states at the Fermi level: 0.27 states/eV/cell
- Size of the total moment: 0.00 μB/f.u.

***

LaSb2Te: optimized geometry, PBE.

Cell lengths 6.338, 6.338, 6.338 Å; angles 137.13, 137.13, 62.24 degrees
Fractional positions:
1 La 0.750 0.250 0.500
2 Sb 0.000 0.000 0.000
3 Sb 0.250 0.750 0.500
4 Te 0.500 0.500 0.000

Values from the calculation:
- Raw formation energy: -631 meV per atom
- Space-group type: I-4m2
- Density of states at the Fermi level: 2.48 states/eV/cell
- Size of the total moment: 0.00 μB/f.u.

***

Pr8HIr3I3: optimized geometry, PBE.

Cell lengths 8.395, 8.391, 9.367 Å; angles 116.56, 90.01, 120.01 degrees
Fractional positions:
1 Pr 0.270 0.541 0.311
2 Pr 0.730 0.459 0.689
3 Pr 0.770 0.539 0.313
4 Pr 0.230 0.461 0.687
5 Pr 0.769 0.043 0.312
6 Pr 0.231 0.957 0.688
7 Pr 0.275 0.043 0.312
8 Pr 0.725 0.957 0.688
9 H 0.000 0.000 0.500
10 Ir 0.500 0.000 0.500
11 Ir 0.500 0.500 0.500
12 Ir 0.000 0.500 0.500
13 I 0.000 0.000 0.000
14 I 0.000 0.500 0.000
15 I 0.500 0.500 0.000

Values from the calculation:
- Space-group type: C2/m
- Total energy: -5.574 eV/atom
- Density of states at the Fermi level: 7.84 states/eV/cell
- Size of the total moment: 0.00 μB/f.u.

***

Which of these has the highest density of states at the Fermi level? Pr8HIr3I3